Record 1
{
  "formula": "AlSb2Ru",
  "functional": "SCAN",
  "state": "single point on PBEsol structure",
  "dos_ef_per_ev_atom": 0.557,
  "spacegroup": "No. 99",
  "total_magnetization_mub_per_fu": 0.0,
  "raw_formation_energy_ev_per_atom": -0.181,
  "lattice": [[3.168, 0.000, 0.000], [0.000, 3.168, 0.000], [0.000, 0.000, 7.789]],
  "species": ["Al", "Sb", "Sb", "Ru"],
  "fractional_positions": [[0.000, 0.000, 0.000], [0.000, 0.000, 0.382], [0.500, 0.500, 0.756], [0.500, 0.500, 0.163]]
}

=====

Record 2
{
  "formula": "AlSb3Ru",
  "functional": "SCAN",
  "state": "single point on PBEsol structure",
  "dos_ef_per_ev_atom": 0.883,
  "spacegroup": "No. 221",
  "total_magnetization_mub_per_fu": 0.0,
  "raw_formation_energy_ev_per_atom": 0.581,
  "lattice": [[5.072, 0.000, 0.000], [0.000, 5.072, 0.000], [0.000, 0.000, 5.072]],
  "species": ["Al", "Sb", "Sb", "Sb", "Ru"],
  "fractional_positions": [[0.000, 0.000, 0.000], [0.000, 0.500, 0.500], [0.500, 0.000, 0.500], [0.500, 0.500, 0.000], [0.500, 0.500, 0.500]]
}

=====

Record 3
{
  "formula": "AlSb2Ru",
  "functional": "SCAN",
  "state": "single point on PBEsol structure",
  "dos_ef_per_ev_atom": 0.557,
  "spacegroup": "No. 44",
  "total_magnetization_mub_per_fu": 0.0,
  "raw_formation_energy_ev_per_atom": 0.088,
  "lattice": [[-1.536, 2.192, 5.998], [1.536, -2.192, 5.998], [1.536, 2.192, -5.998]],
  "species": ["Al", "Sb", "Sb", "Ru"],
  "fractional_positions": [[0.000, 0.000, 0.000], [0.378, 0.378, 0.000], [0.660, 0.160, 0.500], [0.188, 0.688, 0.500]]
}

=====

Record 4
{
  "formula": "AlSb2Ru",
  "functional": "SCAN",
  "state": "single point on PBEsol structure",
  "dos_ef_per_ev_atom": 0.595,
  "spacegroup": "No. 12",
  "total_magnetization_mub_per_fu": 0.0,
  "raw_formation_energy_ev_per_atom": 0.328,
  "lattice": [[3.008, -3.811, 0.000], [3.008, 3.811, 0.000], [-0.013, 0.000, 3.285]],
  "species": ["Al", "Sb", "Sb", "Ru"],
  "fractional_positions": [[0.000, 0.000, 0.000], [0.000, 0.500, 0.500], [0.500, 0.000, 0.500], [0.500, 0.500, 0.000]]
}

=====

Record 5
{
  "formula": "AlSbRu",
  "functional": "SCAN",
  "state": "single point on PBEsol structure",
  "dos_ef_per_ev_atom": 0.873,
  "spacegroup": "No. 216",
  "total_magnetization_mub_per_fu": 0.0,
  "raw_formation_energy_ev_per_atom": -0.309,
  "lattice": [[0.000, 3.032, 3.032], [3.032, 0.000, 3.032], [3.032, 3.032, 0.000]],
  "species": ["Al", "Sb", "Ru"],
  "fractional_positions": [[0.000, 0.000, 0.000], [0.500, 0.500, 0.500], [0.750, 0.750, 0.750]]
}

=====

Record 6
{
  "formula": "Sc6Al16Ru7",
  "functional": "SCAN",
  "state": "single point on PBEsol structure",
  "dos_ef_per_ev_atom": 0.631,
  "spacegroup": "No. 225",
  "total_magnetization_mub_per_fu": 0.0,
  "formation_energy_mev_per_atom": -783,
  "lattice": [[0.000, 6.132, 6.132], [6.132, 0.000, 6.132], [6.132, 6.132, 0.000]],
  "species": ["Sc", "Sc", "Sc", "Sc", "Sc", "Sc", "Al", "Al", "Al", "Al", "Al", "Al", "Al", "Al", "Al", "Al", "Al", "Al", "Al", "Al", "Al", "Al", "Ru", "Ru", "Ru", "Ru", "Ru", "Ru", "Ru"],
  "fractional_positions": [[0.210, 0.210, 0.790], [0.210, 0.790, 0.210], [0.210, 0.790, 0.790], [0.790, 0.210, 0.210], [0.790, 0.210, 0.790], [0.790, 0.790, 0.210], [0.139, 0.620, 0.620], [0.164, 0.164, 0.164], [0.164, 0.164, 0.507], [0.164, 0.507, 0.164], [0.380, 0.380, 0.380], [0.380, 0.380, 0.861], [0.380, 0.861, 0.380], [0.493, 0.836, 0.836], [0.507, 0.164, 0.164], [0.620, 0.139, 0.620], [0.620, 0.620, 0.139], [0.620, 0.620, 0.620], [0.836, 0.493, 0.836], [0.836, 0.836, 0.493], [0.836, 0.836, 0.836], [0.861, 0.380, 0.380], [0.000, 0.000, 0.500], [0.000, 0.500, 0.000], [0.000, 0.500, 0.500], [0.500, 0.000, 0.000], [0.500, 0.000, 0.500], [0.500, 0.500, 0.000], [0.500, 0.500, 0.500]]
}

=====

Record 7
{
  "formula": "Sc2AlRu2",
  "functional": "SCAN",
  "state": "single point on PBEsol structure",
  "dos_ef_per_ev_atom": 0.359,
  "spacegroup": "No. 127",
  "total_magnetization_mub_per_fu": 0.0,
  "formation_energy_mev_per_atom": -643,
  "lattice": [[6.517, 0.000, 0.000], [0.000, 6.517, 0.000], [0.000, 0.000, 3.992]],
  "species": ["Sc", "Sc", "Sc", "Sc", "Al", "Al", "Ru", "Ru", "Ru", "Ru"],
  "fractional_positions": [[0.172, 0.328, 0.000], [0.328, 0.828, 0.000], [0.672, 0.172, 0.000], [0.828, 0.672, 0.000], [0.000, 0.000, 0.500], [0.500, 0.500, 0.500], [0.140, 0.640, 0.500], [0.360, 0.140, 0.500], [0.640, 0.860, 0.500], [0.860, 0.360, 0.500]]
}

=====

Record 8
{
  "formula": "ScAlRu3",
  "functional": "SCAN",
  "state": "single point on PBEsol structure",
  "dos_ef_per_ev_atom": 1.561,
  "spacegroup": "No. 221",
  "total_magnetization_mub_per_fu": 0.0,
  "formation_energy_mev_per_atom": 428,
  "lattice": [[4.387, 0.000, 0.000], [0.000, 4.387, 0.000], [0.000, 0.000, 4.387]],
  "species": ["Sc", "Al", "Ru", "Ru", "Ru"],
  "fractional_positions": [[0.000, 0.000, 0.000], [0.500, 0.500, 0.500], [0.000, 0.500, 0.500], [0.500, 0.000, 0.500], [0.500, 0.500, 0.000]]
}

=====

Record 9
{
  "formula": "Sc2AlRu2",
  "functional": "SCAN",
  "state": "single point on PBEsol structure",
  "dos_ef_per_ev_atom": 0.945,
  "spacegroup": "No. 139",
  "total_magnetization_mub_per_fu": 0.0,
  "formation_energy_mev_per_atom": 6,
  "lattice": [[-1.713, 1.713, 8.122], [1.713, -1.713, 8.122], [1.713, 1.713, -8.122]],
  "species": ["Sc", "Sc", "Al", "Ru", "Ru"],
  "fractional_positions": [[0.111, 0.111, 0.000], [0.889, 0.889, 0.000], [0.500, 0.500, 0.000], [0.250, 0.750, 0.500], [0.750, 0.250, 0.500]]
}

=====

Record 10
{
  "formula": "Sc2AlRuSe",
  "functional": "SCAN",
  "state": "single point on PBEsol structure",
  "dos_ef_per_ev_atom": 0.612,
  "spacegroup": "No. 123",
  "total_magnetization_mub_per_fu": 0.0,
  "raw_formation_energy_ev_per_atom": -0.037,
  "lattice": [[4.901, 0.000, 0.000], [0.000, 4.901, 0.000], [0.000, 0.000, 4.624]],
  "species": ["Sc", "Sc", "Al", "Ru", "Se"],
  "fractional_positions": [[0.000, 0.500, 0.000], [0.500, 0.000, 0.000], [0.000, 0.000, 0.500], [0.500, 0.500, 0.000], [0.500, 0.500, 0.500]]
}

=====

Record 11
{
  "formula": "ScAl2SiRu",
  "functional": "SCAN",
  "state": "single point on PBEsol structure",
  "dos_ef_per_ev_atom": 0.890,
  "spacegroup": "No. 123",
  "total_magnetization_mub_per_fu": 0.0,
  "raw_formation_energy_ev_per_atom": 1.450,
  "lattice": [[5.116, 0.000, 0.000], [0.000, 5.116, 0.000], [0.000, 0.000, 4.351]],
  "species": ["Sc", "Al", "Al", "Si", "Ru"],
  "fractional_positions": [[0.000, 0.000, 0.000], [0.000, 0.500, 0.000], [0.500, 0.000, 0.000], [0.500, 0.500, 0.500], [0.000, 0.000, 0.500]]
}

=====

Record 12
{
  "formula": "AlRuSe2",
  "functional": "SCAN",
  "state": "single point on PBEsol structure",
  "dos_ef_per_ev_atom": 0.536,
  "spacegroup": "No. 123",
  "total_magnetization_mub_per_fu": 0.0,
  "raw_formation_energy_ev_per_atom": 0.221,
  "lattice": [[4.512, 0.000, 0.000], [0.000, 4.512, 0.000], [0.000, 0.000, 3.064]],
  "species": ["Al", "Ru", "Se", "Se"],
  "fractional_positions": [[0.000, 0.000, 0.000], [0.500, 0.500, 0.000], [0.000, 0.500, 0.500], [0.500, 0.000, 0.500]]
}

=====

Record 13
{
  "formula": "Al2RuSe",
  "functional": "SCAN",
  "state": "single point on PBEsol structure",
  "dos_ef_per_ev_atom": 0.174,
  "spacegroup": "No. 44",
  "total_magnetization_mub_per_fu": 0.0,
  "raw_formation_energy_ev_per_atom": -0.064,
  "lattice": [[-1.675, 2.183, 4.218], [1.675, -2.183, 4.218], [1.675, 2.183, -4.218]],
  "species": ["Al", "Al", "Ru", "Se"],
  "fractional_positions": [[0.000, 0.000, 0.000], [0.751, 0.251, 0.500], [0.229, 0.729, 0.500], [0.520, 0.520, 0.000]]
}

=====

Record 14
{
  "formula": "Al2RuSe",
  "functional": "SCAN",
  "state": "single point on PBEsol structure",
  "dos_ef_per_ev_atom": 0.590,
  "spacegroup": "No. 99",
  "total_magnetization_mub_per_fu": 0.0,
  "raw_formation_energy_ev_per_atom": -0.080,
  "lattice": [[2.937, 0.000, 0.000], [0.000, 2.937, 0.000], [0.000, 0.000, 7.358]],
  "species": ["Al", "Al", "Ru", "Se"],
  "fractional_positions": [[0.000, 0.000, 0.000], [0.500, 0.500, 0.261], [0.000, 0.000, 0.481], [0.500, 0.500, 0.687]]
}

=====

In Å³/f.u., the V values for the records above are, in order, 78.15, 130.49, 80.77, 75.32, 55.76, 461.09, 84.77, 84.43, 95.39, 111.04, 113.89, 62.39, 61.70, 63.46.